1.
## TaTc2Pb (PBE)

Data for a geometry-optimized TaTc2Pb structure.

Lattice parameters (Å, degrees): 3.0258 4.1483 5.8715 90.00 98.46 90.00
With the nearest neighbours (Å) after each atom.
Fractional coordinates of all 4 atoms:
Ta 0.0000 0.0000 0.0000  4 Tc 2.60
Tc 0.3827 0.5000 0.2132  2 Ta 2.60, 1 Tc 2.70
Tc 0.6173 0.5000 0.7868  2 Ta 2.60, 1 Tc 2.70
Pb 0.0000 0.0000 0.5000  2 Ta 2.94, 8 Tc 3.01-3.11, 2 Pb 3.03

Values from the calculation:
- ΔH_f (0 K) (eV per atom) = 0.372
- uncorrected energy (eV per atom) = -8.701



2.
## PmNdDyCu (PBE)

Data for a geometry-optimized PmNdDyCu structure.

Lattice parameters (Å, degrees): 3.5731 3.5731 8.7427 90.00 90.00 90.00
With the nearest neighbours (Å) after each atom.
Fractional coordinates of all 4 atoms:
Pm 0.0000 0.0000 0.0000  4 Cu 3.11, 1 Dy 3.39
Nd 0.5000 0.5000 0.3089  4 Nd 3.57, 4 Dy 3.66, 4 Pm 3.70
Dy 0.0000 0.0000 0.6118  4 Cu 2.98
Cu 0.5000 0.5000 0.7923  4 Dy 2.98, 4 Pm 3.11

Values from the calculation:
- ΔH_f (0 K) (eV per atom) = -0.084
- uncorrected energy (eV per atom) = -4.638



3.
## HoAl2GaCo2 (PBE)

Data for a geometry-optimized HoAl2GaCo2 structure.

Lattice parameters (Å, degrees): 4.3406 4.3406 5.5351 90.00 90.00 90.00
With the nearest neighbours (Å) after each atom.
Fractional coordinates of all 6 atoms:
Ho 0.0000 0.0000 0.0000  2 Ga 2.77
Al 0.5000 0.5000 0.2493  4 Co 2.58, 2 Al 2.76-2.77
Al 0.5000 0.5000 0.7507  4 Co 2.58, 2 Al 2.76-2.77
Ga 0.0000 0.0000 0.5000  4 Co 2.17
Co 0.0000 0.5000 0.5000  2 Ga 2.17
Co 0.5000 0.0000 0.5000  2 Ga 2.17

Values from the calculation:
- ΔH_f (0 K) (eV per atom) = -0.188
- uncorrected energy (eV per atom) = -5.071



4.
## SrSmSb2 (PBE)

Data for a geometry-optimized SrSmSb2 structure.

Lattice parameters (Å, degrees): 4.4941 4.4941 23.7662 90.00 90.00 120.00
With the nearest neighbours (Å) after each atom.
Fractional coordinates of all 12 atoms:
Sr 0.0000 0.0000 0.0000  6 Sb 3.36
Sr 0.3333 0.6667 0.6667  6 Sb 3.36
Sr 0.6667 0.3333 0.3333  6 Sb 3.36
Sm 0.0000 0.0000 0.5000  6 Sb 3.17
Sm 0.3333 0.6667 0.1667  6 Sb 3.17
Sm 0.6667 0.3333 0.8333  6 Sb 3.17
Sb 0.0000 0.0000 0.2434  3 Sm 3.17, 3 Sr 3.36
Sb 0.0000 0.0000 0.7565  3 Sm 3.17, 3 Sr 3.36
Sb 0.3333 0.6667 0.4232  3 Sm 3.17, 3 Sr 3.36
Sb 0.3333 0.6667 0.9101  3 Sm 3.17, 3 Sr 3.36
Sb 0.6667 0.3333 0.0899  3 Sm 3.17, 3 Sr 3.36
Sb 0.6667 0.3333 0.5768  3 Sm 3.17, 3 Sr 3.36

Values from the calculation:
- uncorrected energy (eV per atom) = -4.625
- ΔE_f (raw) (meV/atom) = -963



5.
## PmNdSmEr3 (PBE)

Data for a geometry-optimized PmNdSmEr3 structure.

Lattice parameters (Å, degrees): 5.6093 7.0770 10.3078 90.02 105.77 90.00
With the nearest neighbours (Å) after each atom.
Fractional coordinates of all 12 atoms:
Pm 0.1485 0.0376 0.2962  1 Sm 3.00, 2 Er 3.20-3.29
Pm 0.8515 0.9624 0.7038  1 Sm 3.00, 2 Er 3.20-3.29
Nd 0.4456 0.7487 0.8915  3 Er 3.20-3.32
Nd 0.5544 0.2513 0.1085  3 Er 3.20-3.32
Sm 0.1489 0.4612 0.2970  1 Pm 3.00, 2 Er 3.20-3.29
Sm 0.8511 0.5388 0.7030  1 Pm 3.00, 2 Er 3.20-3.29
Er 0.0237 0.7489 0.0479  1 Pm 3.20, 1 Sm 3.20, 2 Nd 3.20-3.21
Er 0.2783 0.7505 0.5570  3 Pm 3.29-3.50, 3 Sm 3.29-3.49, 1 Nd 3.32, 2 Er 3.58
Er 0.3335 0.2516 0.6673  2 Sm 3.48, 2 Pm 3.49, 4 Er 3.58-3.71
Er 0.6665 0.7484 0.3327  2 Sm 3.48, 2 Pm 3.49, 4 Er 3.58-3.71
Er 0.7217 0.2495 0.4430  3 Pm 3.29-3.50, 3 Sm 3.29-3.49, 1 Nd 3.32, 2 Er 3.58
Er 0.9763 0.2511 0.9521  1 Pm 3.20, 1 Sm 3.20, 2 Nd 3.20-3.21

Values from the calculation:
- ΔH_f (0 K) (eV per atom) = 0.186
- uncorrected energy (eV per atom) = -4.468



6.
## In2GaRu (PBE)

Data for a geometry-optimized In2GaRu structure.

Lattice parameters (Å, degrees): 10.1341 10.1341 4.8090 90.00 90.00 90.00
With the nearest neighbours (Å) after each atom.
Fractional coordinates of all 16 atoms:
In 0.0007 0.7500 0.1250  2 Ru 2.60
In 0.2500 0.0007 0.8750  2 Ru 2.60
In 0.2500 0.4993 0.3750  2 Ru 2.60
In 0.4993 0.7500 0.6250  2 Ru 2.60
In 0.5007 0.2500 0.6250  2 Ru 2.60
In 0.7500 0.5007 0.3750  2 Ru 2.60
In 0.7500 0.9993 0.8750  2 Ru 2.60
In 0.9993 0.2500 0.1250  2 Ru 2.60
Ga 0.0000 0.0000 0.5000  2 Ru 2.40
Ga 0.0000 0.5000 0.7500  2 Ru 2.40
Ga 0.5000 0.0000 0.2500  2 Ru 2.40
Ga 0.5000 0.5000 0.0000  2 Ru 2.40
Ru 0.0000 0.0000 0.0000  2 Ga 2.40, 4 In 2.60
Ru 0.0000 0.5000 0.2500  2 Ga 2.40, 4 In 2.60
Ru 0.5000 0.0000 0.7500  2 Ga 2.40, 4 In 2.60
Ru 0.5000 0.5000 0.5000  2 Ga 2.40, 4 In 2.60

Values from the calculation:
- ΔH_f (0 K) (eV per atom) = 0.043
- uncorrected energy (eV per atom) = -4.402



7.
## BiPNO2 (PBE)

Data for a geometry-optimized BiPNO2 structure.

Lattice parameters (Å, degrees): 3.7795 3.7795 3.8476 90.00 90.00 90.00
With the nearest neighbours (Å) after each atom.
Fractional coordinates of all 5 atoms:
Bi 0.0000 0.0000 0.0000  4 N 2.67, 8 O 2.70
P 0.5000 0.5000 0.5000  4 O 1.89, 2 N 1.92
N 0.5000 0.5000 0.0000  2 P 1.92
O 0.0000 0.5000 0.5000  2 P 1.89
O 0.5000 0.0000 0.5000  2 P 1.89

Values from the calculation:
- uncorrected energy (eV per atom) = -5.839
- ΔE_f (raw) (meV/atom) = -332



8.
## CeTm2Ir (PBE)

Data for a geometry-optimized CeTm2Ir structure.

Lattice parameters (Å, degrees): 3.4072 3.4072 8.7142 90.00 90.00 90.00
With the nearest neighbours (Å) after each atom.
Fractional coordinates of all 4 atoms:
Ce 0.0000 0.0000 0.0000  4 Ce 3.41, 8 Tm 3.64
Tm 0.5000 0.5000 0.3124  4 Ir 2.91
Tm 0.5000 0.5000 0.6876  4 Ir 2.91
Ir 0.0000 0.0000 0.5000  8 Tm 2.91

Values from the calculation:
- ΔH_f (0 K) (eV per atom) = -0.434
- uncorrected energy (eV per atom) = -6.368



9.
## Mn3Cr (PBE)

Data for a geometry-optimized Mn3Cr structure.

Lattice parameters (Å, degrees): 4.4035 8.1458 4.9317 90.00 90.00 90.00
With the nearest neighbours (Å) after each atom.
Fractional coordinates of all 16 atoms:
Mn 0.0801 0.2500 0.1190  8 Mn 2.35-2.55, 4 Cr 2.40-2.61
Mn 0.2355 0.5171 0.8861  9 Mn 2.35-2.60, 2 Cr 2.41-2.59
Mn 0.2355 0.9829 0.8861  9 Mn 2.35-2.60, 2 Cr 2.41-2.59
Mn 0.2645 0.0171 0.3861  9 Mn 2.35-2.60, 2 Cr 2.41-2.59
Mn 0.2645 0.4829 0.3861  9 Mn 2.35-2.60, 2 Cr 2.41-2.59
Mn 0.4199 0.7500 0.6190  8 Mn 2.35-2.55, 4 Cr 2.40-2.61
Mn 0.5801 0.2500 0.3810  8 Mn 2.35-2.55, 4 Cr 2.40-2.61
Mn 0.7355 0.5171 0.6139  9 Mn 2.35-2.60, 2 Cr 2.41-2.59
Mn 0.7355 0.9829 0.6139  9 Mn 2.35-2.60, 2 Cr 2.41-2.59
Mn 0.7645 0.0171 0.1139  9 Mn 2.35-2.60, 2 Cr 2.41-2.59
Mn 0.7645 0.4829 0.1139  9 Mn 2.35-2.60, 2 Cr 2.41-2.59
Mn 0.9199 0.7500 0.8810  8 Mn 2.35-2.55, 4 Cr 2.40-2.61
Cr 0.0537 0.2500 0.6230  10 Mn 2.40-2.66, 2 Cr 2.53
Cr 0.4463 0.7500 0.1230  10 Mn 2.40-2.66, 2 Cr 2.53
Cr 0.5537 0.2500 0.8770  10 Mn 2.40-2.66, 2 Cr 2.53
Cr 0.9463 0.7500 0.3770  10 Mn 2.40-2.66, 2 Cr 2.53

Values from the calculation:
- ΔH_f (0 K) (eV per atom) = 0.123
- uncorrected energy (eV per atom) = -9.160



10.
## SrTc3S (PBE)

Data for a geometry-optimized SrTc3S structure.

Lattice parameters (Å, degrees): 5.1519 5.1519 5.1519 90.00 90.00 90.00
With the nearest neighbours (Å) after each atom.
Fractional coordinates of all 5 atoms:
Sr 0.0000 0.0000 0.0000  6 Tc 2.58
Tc 0.0000 0.0000 0.5000  2 Sr 2.58
Tc 0.0000 0.5000 0.0000  2 Sr 2.58
Tc 0.5000 0.0000 0.0000  2 Sr 2.58
S 0.5000 0.5000 0.5000  12 Tc 3.64

Values from the calculation:
- uncorrected energy (eV per atom) = -4.284
- ΔE_f (raw) (meV/atom) = 3098